[1]
First-principles (SCAN) data for a crystal of Li2Cr3NiO8 relaxed with PBEsol, as listed in Alexandria.

Properties
**Total moment**: 0.57 μB per atom
**Calculated total energy**: -625.618 eV per cell
**Theoretical density**: 4430 kg/m3
**SG**: P4_332, No. 212
**Volume**: 534.61 Å³ per cell

Unit cell a=8.1161 b=8.1161 c=8.1161 alpha=90.00 beta=90.00 gamma=90.00
Last column: nearest neighbours and their distance in Å.
Atoms (fractional coordinates):
1 Li 0.0007 0.0007 0.0007  4 O 1.93-1.94
2 Li 0.2493 0.2493 0.2493  4 O 1.93-1.94
3 Li 0.2507 0.7507 0.7493  4 O 1.93-1.94
4 Li 0.4993 0.9993 0.5007  4 O 1.93-1.94
5 Li 0.5007 0.4993 0.9993  4 O 1.93-1.94
6 Li 0.7493 0.2507 0.7507  4 O 1.93-1.94
7 Li 0.7507 0.7493 0.2507  4 O 1.93-1.94
8 Li 0.9993 0.5007 0.4993  4 O 1.93-1.94
9 Cr 0.1232 0.6250 0.1268  6 O 1.93-1.95
10 Cr 0.1250 0.3732 0.8768  6 O 1.93-1.95
11 Cr 0.1268 0.1232 0.6250  6 O 1.93-1.95
12 Cr 0.3732 0.8768 0.1250  6 O 1.93-1.95
13 Cr 0.3750 0.6268 0.3768  6 O 1.93-1.95
14 Cr 0.3768 0.3750 0.6268  6 O 1.93-1.95
15 Cr 0.6232 0.8750 0.8732  6 O 1.93-1.95
16 Cr 0.6250 0.1268 0.1232  6 O 1.93-1.95
17 Cr 0.6268 0.3768 0.3750  6 O 1.93-1.95
18 Cr 0.8732 0.6232 0.8750  6 O 1.93-1.95
19 Cr 0.8750 0.8732 0.6232  6 O 1.93-1.95
20 Cr 0.8768 0.1250 0.3732  6 O 1.93-1.95
21 Ni 0.1250 0.8750 0.3750  6 O 1.92
22 Ni 0.3750 0.1250 0.8750  6 O 1.92
23 Ni 0.6250 0.6250 0.6250  6 O 1.92
24 Ni 0.8750 0.3750 0.1250  6 O 1.92
25 O 0.1110 0.3882 0.1140  1 Ni 1.92, 2 Cr 1.93, 1 Li 1.93
26 O 0.1124 0.6124 0.8876  1 Li 1.94, 3 Cr 1.95
27 O 0.1118 0.8860 0.6110  1 Ni 1.92, 2 Cr 1.93, 1 Li 1.93
28 O 0.1140 0.1110 0.3882  1 Ni 1.92, 2 Cr 1.93, 1 Li 1.93
29 O 0.1360 0.8618 0.1390  1 Ni 1.92, 2 Cr 1.93, 1 Li 1.93
30 O 0.1376 0.3624 0.6376  1 Li 1.94, 3 Cr 1.95
31 O 0.1382 0.6390 0.3640  1 Ni 1.92, 2 Cr 1.93, 1 Li 1.93
32 O 0.1390 0.1360 0.8618  1 Ni 1.92, 2 Cr 1.93, 1 Li 1.93
33 O 0.3610 0.8640 0.3618  1 Ni 1.92, 2 Cr 1.93, 1 Li 1.93
34 O 0.3618 0.3610 0.8640  1 Ni 1.92, 2 Cr 1.93, 1 Li 1.93
35 O 0.3624 0.6376 0.1376  1 Li 1.94, 3 Cr 1.95
36 O 0.3640 0.1382 0.6390  1 Ni 1.92, 2 Cr 1.93, 1 Li 1.93
37 O 0.3860 0.8890 0.8882  1 Ni 1.92, 2 Cr 1.93, 1 Li 1.93
38 O 0.3882 0.1140 0.1110  1 Ni 1.92, 2 Cr 1.93, 1 Li 1.93
39 O 0.3876 0.3876 0.3876  1 Li 1.94, 3 Cr 1.95
40 O 0.3890 0.6118 0.6140  1 Ni 1.92, 2 Cr 1.93, 1 Li 1.93
41 O 0.6110 0.1118 0.8860  1 Ni 1.92, 2 Cr 1.93, 1 Li 1.93
42 O 0.6118 0.6140 0.3890  1 Ni 1.92, 2 Cr 1.93, 1 Li 1.93
43 O 0.6124 0.8876 0.1124  1 Li 1.94, 3 Cr 1.95
44 O 0.6140 0.3890 0.6118  1 Ni 1.92, 2 Cr 1.93, 1 Li 1.93
45 O 0.6360 0.6382 0.8610  1 Ni 1.92, 2 Cr 1.93, 1 Li 1.93
46 O 0.6376 0.1376 0.3624  1 Li 1.94, 3 Cr 1.95
47 O 0.6382 0.8610 0.6360  1 Ni 1.92, 2 Cr 1.93, 1 Li 1.93
48 O 0.6390 0.3640 0.1382  1 Ni 1.92, 2 Cr 1.93, 1 Li 1.93
49 O 0.8610 0.6360 0.6382  1 Ni 1.92, 2 Cr 1.93, 1 Li 1.93
50 O 0.8618 0.1390 0.1360  1 Ni 1.92, 2 Cr 1.93, 1 Li 1.93
51 O 0.8624 0.8624 0.8624  1 Li 1.94, 3 Cr 1.95
52 O 0.8640 0.3618 0.3610  1 Ni 1.92, 2 Cr 1.93, 1 Li 1.93
53 O 0.8860 0.6110 0.1118  1 Ni 1.92, 2 Cr 1.93, 1 Li 1.93
54 O 0.8876 0.1124 0.6124  1 Li 1.94, 3 Cr 1.95
55 O 0.8882 0.3860 0.8890  1 Ni 1.92, 2 Cr 1.93, 1 Li 1.93
56 O 0.8890 0.8882 0.3860  1 Ni 1.92, 2 Cr 1.93, 1 Li 1.93

[2]
First-principles (SCAN) data for a crystal of Li5Cr3NiO8 relaxed with PBEsol, as listed in Alexandria.

Properties
**Total moment**: 0.65 μB per atom
**Calculated total energy**: -685.473 eV per cell
**Theoretical density**: 4368 kg/m3
**SG**: P4_332, No. 212
**Volume**: 573.91 Å³ per cell

Unit cell a=8.3103 b=8.3103 c=8.3103 alpha=90.00 beta=90.00 gamma=90.00
Last column: nearest neighbours and their distance in Å.
Atoms (fractional coordinates):
1 Li 0.0552 0.0552 0.0552  3 O 1.81, 1 Li 2.01
2 Li 0.1099 0.8599 0.8750  6 O 2.04-2.27, 2 Li 2.25
3 Li 0.1250 0.6099 0.6401  6 O 2.04-2.27, 2 Li 2.25
4 Li 0.1401 0.3750 0.3901  6 O 2.04-2.27, 2 Li 2.25
5 Li 0.1948 0.1948 0.1948  3 O 1.81, 1 Li 2.01
6 Li 0.3052 0.8052 0.6948  3 O 1.81, 1 Li 2.01
7 Li 0.3599 0.6250 0.8901  6 O 2.04-2.27, 2 Li 2.25
8 Li 0.3750 0.3901 0.1401  6 O 2.04-2.27, 2 Li 2.25
9 Li 0.3901 0.1401 0.3750  6 O 2.04-2.27, 2 Li 2.25
10 Li 0.4448 0.9448 0.5552  3 O 1.81, 1 Li 2.01
11 Li 0.5552 0.4448 0.9448  3 O 1.81, 1 Li 2.01
12 Li 0.6099 0.6401 0.1250  6 O 2.04-2.27, 2 Li 2.25
13 Li 0.6250 0.8901 0.3599  6 O 2.04-2.27, 2 Li 2.25
14 Li 0.6401 0.1250 0.6099  6 O 2.04-2.27, 2 Li 2.25
15 Li 0.6948 0.3052 0.8052  3 O 1.81, 1 Li 2.01
16 Li 0.8052 0.6948 0.3052  3 O 1.81, 1 Li 2.01
17 Li 0.8599 0.8750 0.1099  6 O 2.04-2.27, 2 Li 2.25
18 Li 0.8750 0.1099 0.8599  6 O 2.04-2.27, 2 Li 2.25
19 Li 0.8901 0.3599 0.6250  6 O 2.04-2.27, 2 Li 2.25
20 Li 0.9448 0.5552 0.4448  3 O 1.81, 1 Li 2.01
21 Cr 0.1213 0.6250 0.1287  6 O 1.98-2.03
22 Cr 0.1250 0.3713 0.8787  6 O 1.98-2.03
23 Cr 0.1287 0.1213 0.6250  6 O 1.98-2.03
24 Cr 0.3713 0.8787 0.1250  6 O 1.98-2.03
25 Cr 0.3750 0.6287 0.3787  6 O 1.98-2.03
26 Cr 0.3787 0.3750 0.6287  6 O 1.98-2.03
27 Cr 0.6213 0.8750 0.8713  6 O 1.98-2.03
28 Cr 0.6250 0.1287 0.1213  6 O 1.98-2.03
29 Cr 0.6287 0.3787 0.3750  6 O 1.98-2.03
30 Cr 0.8713 0.6213 0.8750  6 O 1.98-2.03
31 Cr 0.8750 0.8713 0.6213  6 O 1.98-2.03
32 Cr 0.8787 0.1250 0.3713  6 O 1.98-2.03
33 Ni 0.1250 0.8750 0.3750  6 O 2.09
34 Ni 0.3750 0.1250 0.8750  6 O 2.09
35 Ni 0.6250 0.6250 0.6250  6 O 2.09
36 Ni 0.8750 0.3750 0.1250  6 O 2.09
37 O 0.1132 0.8825 0.6256  1 Li 1.81, 2 Cr 1.98-1.99
38 O 0.1148 0.6148 0.8852  3 Cr 2.03, 3 Li 2.04
39 O 0.1175 0.1256 0.3868  1 Li 1.81, 2 Cr 1.98-1.99
40 O 0.1244 0.1325 0.8632  1 Li 1.81, 2 Cr 1.98-1.99
41 O 0.1256 0.3868 0.1175  1 Li 1.81, 2 Cr 1.98-1.99
42 O 0.1325 0.8632 0.1244  1 Li 1.81, 2 Cr 1.98-1.99
43 O 0.1352 0.3648 0.6352  3 Cr 2.03, 3 Li 2.04
44 O 0.1368 0.6244 0.3675  1 Li 1.81, 2 Cr 1.98-1.99
45 O 0.3632 0.3756 0.8675  1 Li 1.81, 2 Cr 1.98-1.99
46 O 0.3648 0.6352 0.1352  3 Cr 2.03, 3 Li 2.04
47 O 0.3675 0.1368 0.6244  1 Li 1.81, 2 Cr 1.98-1.99
48 O 0.3744 0.6132 0.6175  1 Li 1.81, 2 Cr 1.98-1.99
49 O 0.3756 0.8675 0.3632  1 Li 1.81, 2 Cr 1.98-1.99
50 O 0.3825 0.8744 0.8868  1 Li 1.81, 2 Cr 1.98-1.99
51 O 0.3852 0.3852 0.3852  3 Cr 2.03, 3 Li 2.04
52 O 0.3868 0.1175 0.1256  1 Li 1.81, 2 Cr 1.98-1.99
53 O 0.6132 0.6175 0.3744  1 Li 1.81, 2 Cr 1.98-1.99
54 O 0.6148 0.8852 0.1148  3 Cr 2.03, 3 Li 2.04
55 O 0.6175 0.3744 0.6132  1 Li 1.81, 2 Cr 1.98-1.99
56 O 0.6244 0.3675 0.1368  1 Li 1.81, 2 Cr 1.98-1.99
57 O 0.6256 0.1132 0.8825  1 Li 1.81, 2 Cr 1.98-1.99
58 O 0.6325 0.6368 0.8756  1 Li 1.81, 2 Cr 1.98-1.99
59 O 0.6352 0.1352 0.3648  3 Cr 2.03, 3 Li 2.04
60 O 0.6368 0.8756 0.6325  1 Li 1.81, 2 Cr 1.98-1.99
61 O 0.8632 0.1244 0.1325  1 Li 1.81, 2 Cr 1.98-1.99
62 O 0.8648 0.8648 0.8648  3 Cr 2.03, 3 Li 2.04
63 O 0.8675 0.3632 0.3756  1 Li 1.81, 2 Cr 1.98-1.99
64 O 0.8744 0.8868 0.3825  1 Li 1.81, 2 Cr 1.98-1.99
65 O 0.8756 0.6325 0.6368  1 Li 1.81, 2 Cr 1.98-1.99
66 O 0.8825 0.6256 0.1132  1 Li 1.81, 2 Cr 1.98-1.99
67 O 0.8852 0.1148 0.6148  3 Cr 2.03, 3 Li 2.04
68 O 0.8868 0.3825 0.8744  1 Li 1.81, 2 Cr 1.98-1.99

[3]
First-principles (SCAN) data for a crystal of Li4Cr3NiO8 relaxed with PBEsol, as listed in Alexandria.

Properties
**Total moment**: 0.62 μB per atom
**Calculated total energy**: -167.650 eV per cell
**Theoretical density**: 4516 kg/m3
**SG**: R-3m, No. 166
**Volume**: 136.20 Å³ per cell

Unit cell a=5.7857 b=5.7857 c=5.7857 alpha=59.76 beta=59.76 gamma=59.76
Last column: nearest neighbours and their distance in Å.
Atoms (fractional coordinates):
1 Li 0.0000 0.0000 0.0000  6 O 2.07
2 Li 0.0000 0.5000 0.5000  6 O 2.11-2.13
3 Li 0.5000 0.0000 0.5000  6 O 2.11-2.13
4 Li 0.5000 0.5000 0.0000  6 O 2.11-2.13
5 Cr 0.0000 0.0000 0.5000  6 O 1.96-1.98
6 Cr 0.0000 0.5000 0.0000  6 O 1.96-1.98
7 Cr 0.5000 0.0000 0.0000  6 O 1.96-1.98
8 Ni 0.5000 0.5000 0.5000  6 O 2.02
9 O 0.2325 0.7473 0.7473  2 Cr 1.96, 1 Ni 2.02, 3 Li 2.07-2.13
10 O 0.2421 0.2421 0.2421  3 Cr 1.98, 3 Li 2.11
11 O 0.2527 0.2527 0.7675  2 Cr 1.96, 1 Ni 2.02, 3 Li 2.07-2.13
12 O 0.2527 0.7675 0.2527  2 Cr 1.96, 1 Ni 2.02, 3 Li 2.07-2.13
13 O 0.7473 0.2325 0.7473  2 Cr 1.96, 1 Ni 2.02, 3 Li 2.07-2.13
14 O 0.7473 0.7473 0.2325  2 Cr 1.96, 1 Ni 2.02, 3 Li 2.07-2.13
15 O 0.7579 0.7579 0.7579  3 Cr 1.98, 3 Li 2.11
16 O 0.7675 0.2527 0.2527  2 Cr 1.96, 1 Ni 2.02, 3 Li 2.07-2.13

[4]
First-principles (SCAN) data for a crystal of Li3CrNi3O8 relaxed with PBEsol, as listed in Alexandria.

Properties
**Total moment**: 0.33 μB per atom
**Calculated total energy**: -150.522 eV per cell
**Theoretical density**: 4734 kg/m3
**SG**: C2/m, No. 12
**Volume**: 132.21 Å³ per cell

Unit cell a=5.7167 b=5.7167 c=5.7136 alpha=119.40 beta=119.40 gamma=59.05
Last column: nearest neighbours and their distance in Å.
Atoms (fractional coordinates):
1 Li 0.0000 0.0000 0.0000  6 O 2.09-2.19
2 Li 0.0000 0.5000 0.0000  6 O 2.06-2.14
3 Li 0.5000 0.0000 0.0000  6 O 2.06-2.14
4 Cr 0.5000 0.5000 0.5000  6 O 1.92-1.94
5 Ni 0.0000 0.0000 0.5000  6 O 1.87-1.89
6 Ni 0.0000 0.5000 0.5000  6 O 1.89-2.05
7 Ni 0.5000 0.0000 0.5000  6 O 1.89-2.05
8 O 0.2289 0.2289 0.6985  3 Ni 1.89
9 O 0.2415 0.7568 0.7233  2 Ni 1.87-2.05, 1 Cr 1.94, 2 Li 2.07-2.09
10 O 0.2432 0.7585 0.2767  2 Ni 1.87-2.05, 1 Cr 1.94, 2 Li 2.07-2.09
11 O 0.2667 0.2667 0.2788  1 Cr 1.92, 2 Ni 1.96, 2 Li 2.06
12 O 0.7333 0.7333 0.7212  1 Cr 1.92, 2 Ni 1.96, 2 Li 2.06
13 O 0.7568 0.2415 0.7233  2 Ni 1.87-2.05, 1 Cr 1.94, 2 Li 2.07-2.09
14 O 0.7585 0.2432 0.2767  2 Ni 1.87-2.05, 1 Cr 1.94, 2 Li 2.07-2.09
15 O 0.7711 0.7711 0.3015  3 Ni 1.89

[5]
First-principles (SCAN) data for a crystal of Li4Cr2Ni3Sb3O16 relaxed with PBEsol, as listed in Alexandria.

Properties
**Total moment**: 0.39 μB per atom
**Calculated total energy**: -357.836 eV per cell
**Theoretical density**: 5359 kg/m3
**SG**: Cm, No. 8
**Volume**: 287.89 Å³ per cell

Unit cell a=5.9854 b=5.9854 c=9.2996 alpha=91.32 beta=91.32 gamma=59.82
Last column: nearest neighbours and their distance in Å.
Atoms (fractional coordinates):
1 Li 0.0000 0.0000 0.0000  3 O 1.82-1.98
2 Li 0.2338 0.2338 0.0959  3 O 1.86-1.98
3 Li 0.5566 0.5566 0.5562  4 O 1.92-2.04
4 Li 0.9042 0.9042 0.4512  2 O 1.79-1.86
5 Cr 0.2134 0.2134 0.4635  5 O 1.87-2.04
6 Cr 0.5430 0.5430 0.9786  5 O 1.88-2.02
7 Ni 0.0556 0.0556 0.7381  6 O 1.98-2.09
8 Ni 0.2280 0.7175 0.2447  6 O 1.95-2.11
9 Ni 0.7175 0.2280 0.2447  6 O 1.95-2.11
10 Sb 0.0526 0.5502 0.7508  6 O 1.98-2.05
11 Sb 0.5502 0.0526 0.7508  6 O 1.98-2.05
12 Sb 0.7189 0.7189 0.2411  6 O 1.99-2.04
13 O 0.0501 0.5514 0.3600  1 Cr 2.01, 1 Li 2.01, 1 Sb 2.03, 1 Ni 2.11
14 O 0.0589 0.0589 0.3555  1 Li 1.86, 1 Cr 1.87, 2 Ni 2.03
15 O 0.2130 0.7212 0.8607  1 Sb 1.98, 1 Li 1.98, 1 Cr 2.02, 1 Ni 2.09
16 O 0.2204 0.2204 0.8655  2 Sb 2.02, 1 Ni 2.05, 1 Li 2.14
17 O 0.3699 0.3699 0.6208  1 Li 2.04, 2 Sb 2.05, 1 Cr 2.16
18 O 0.3737 0.9286 0.6136  1 Li 1.99, 1 Sb 1.99, 1 Ni 2.04, 1 Cr 2.04
19 O 0.4073 0.8517 0.1049  1 Cr 1.97, 1 Li 1.98, 1 Sb 2.04, 1 Ni 2.11
20 O 0.4127 0.4127 0.1153  1 Li 1.86, 1 Cr 1.88, 2 Ni 1.98
21 O 0.5514 0.0501 0.3600  1 Cr 2.01, 1 Li 2.01, 1 Sb 2.03, 1 Ni 2.11
22 O 0.5558 0.5558 0.3498  1 Li 1.92, 2 Ni 1.95, 1 Sb 1.99
23 O 0.7147 0.7147 0.8552  2 Sb 2.01, 1 Cr 2.14
24 O 0.7212 0.2130 0.8607  1 Sb 1.98, 1 Li 1.98, 1 Cr 2.02, 1 Ni 2.09
25 O 0.8517 0.4073 0.1049  1 Cr 1.97, 1 Li 1.98, 1 Sb 2.04, 1 Ni 2.11
26 O 0.8828 0.8828 0.6416  1 Li 1.79, 1 Ni 1.98
27 O 0.8899 0.8899 0.1488  1 Li 1.82, 2 Ni 1.95, 1 Sb 1.99
28 O 0.9286 0.3737 0.6136  1 Li 1.99, 1 Sb 1.99, 1 Ni 2.04, 1 Cr 2.04

[6]
First-principles (SCAN) data for a crystal of Li4Cr2Ni3Te3O16 relaxed with PBEsol, as listed in Alexandria.

Properties
**Total moment**: 0.36 μB per atom
**Calculated total energy**: -351.176 eV per cell
**Theoretical density**: 5278 kg/m3
**SG**: P1, No. 1
**Volume**: 297.82 Å³ per cell

Unit cell a=5.9535 b=5.9811 c=9.5444 alpha=91.40 beta=90.43 gamma=118.75
Last column: nearest neighbours and their distance in Å.
Atoms (fractional coordinates):
1 Li 0.0000 0.0000 0.0000  3 O 1.88-1.99
2 Li 0.1454 0.9480 0.4684  3 O 1.84-2.06
3 Li 0.4882 0.5822 0.5521  4 O 1.91-2.03
4 Li 0.8052 0.2624 0.1058  4 O 1.87-2.05
5 Cr 0.4867 0.5693 0.9889  6 O 1.88-2.07
6 Cr 0.8282 0.2180 0.4786  4 O 1.81-1.93
7 Ni 0.3223 0.2615 0.2487  6 O 1.97-2.12
8 Ni 0.8147 0.7526 0.2502  6 O 2.00-2.07
9 Ni 0.9691 0.0749 0.7504  6 O 1.99-2.15
10 Te 0.3179 0.7535 0.2481  6 O 1.93-1.99
11 Te 0.4936 0.0757 0.7908  3 O 1.94-2.00
12 Te 0.9609 0.5593 0.7413  4 O 1.94-2.15
13 O 0.0129 0.6057 0.3592  1 Te 1.93, 1 Li 2.06, 1 Ni 2.07
14 O 0.1172 0.3759 0.6079  1 Cr 1.93, 1 Li 2.03, 1 Ni 2.12, 1 Te 2.15
15 O 0.1344 0.8917 0.6571  1 Li 1.84, 1 Te 1.94, 1 Ni 1.99
16 O 0.1508 0.9212 0.1512  1 Li 1.88, 1 Te 1.96, 2 Ni 1.99-2.01
17 O 0.1888 0.4514 0.1179  1 Te 1.98, 1 Li 2.00, 1 Cr 2.01, 1 Ni 2.10
18 O 0.2996 0.2279 0.8882  1 Li 1.98, 1 Te 2.00, 1 Cr 2.01, 1 Ni 2.15
19 O 0.3237 0.7385 0.8687  1 Te 1.94, 1 Cr 2.07
20 O 0.4837 0.0721 0.3625  1 Te 1.97, 1 Li 2.06, 1 Cr 2.10, 1 Ni 2.12
21 O 0.4839 0.5934 0.3521  1 Li 1.91, 1 Te 1.95, 2 Ni 1.97-2.00
22 O 0.6171 0.8745 0.1225  1 Te 1.99, 1 Cr 2.02, 1 Li 2.05, 1 Ni 2.06
23 O 0.6237 0.4435 0.1252  1 Li 1.87, 1 Cr 1.88, 2 Ni 2.00
24 O 0.6908 0.9603 0.5998  1 Cr 1.81, 1 Li 2.02
25 O 0.7075 0.4170 0.5734  1 Cr 1.88, 1 Li 1.99, 1 Te 2.06
26 O 0.7824 0.7252 0.8612  1 Li 1.99, 1 Cr 1.99, 1 Te 2.10, 1 Ni 2.15
27 O 0.8014 0.1739 0.9086  2 Li 1.94-2.11, 1 Te 1.97, 1 Ni 2.04
28 O 0.9805 0.0972 0.3557  1 Cr 1.82, 1 Li 1.95, 1 Ni 2.04

What did the fifth record say?
First-principles (SCAN) data for a crystal of Li4Cr2Ni3Sb3O16 relaxed with PBEsol, as listed in Alexandria.

Properties
**Total moment**: 0.39 μB per atom
**Calculated total energy**: -357.836 eV per cell
**Theoretical density**: 5359 kg/m3
**SG**: Cm, No. 8
**Volume**: 287.89 Å³ per cell

Unit cell a=5.9854 b=5.9854 c=9.2996 alpha=91.32 beta=91.32 gamma=59.82
Last column: nearest neighbours and their distance in Å.
Atoms (fractional coordinates):
1 Li 0.0000 0.0000 0.0000  3 O 1.82-1.98
2 Li 0.2338 0.2338 0.0959  3 O 1.86-1.98
3 Li 0.5566 0.5566 0.5562  4 O 1.92-2.04
4 Li 0.9042 0.9042 0.4512  2 O 1.79-1.86
5 Cr 0.2134 0.2134 0.4635  5 O 1.87-2.04
6 Cr 0.5430 0.5430 0.9786  5 O 1.88-2.02
7 Ni 0.0556 0.0556 0.7381  6 O 1.98-2.09
8 Ni 0.2280 0.7175 0.2447  6 O 1.95-2.11
9 Ni 0.7175 0.2280 0.2447  6 O 1.95-2.11
10 Sb 0.0526 0.5502 0.7508  6 O 1.98-2.05
11 Sb 0.5502 0.0526 0.7508  6 O 1.98-2.05
12 Sb 0.7189 0.7189 0.2411  6 O 1.99-2.04
13 O 0.0501 0.5514 0.3600  1 Cr 2.01, 1 Li 2.01, 1 Sb 2.03, 1 Ni 2.11
14 O 0.0589 0.0589 0.3555  1 Li 1.86, 1 Cr 1.87, 2 Ni 2.03
15 O 0.2130 0.7212 0.8607  1 Sb 1.98, 1 Li 1.98, 1 Cr 2.02, 1 Ni 2.09
16 O 0.2204 0.2204 0.8655  2 Sb 2.02, 1 Ni 2.05, 1 Li 2.14
17 O 0.3699 0.3699 0.6208  1 Li 2.04, 2 Sb 2.05, 1 Cr 2.16
18 O 0.3737 0.9286 0.6136  1 Li 1.99, 1 Sb 1.99, 1 Ni 2.04, 1 Cr 2.04
19 O 0.4073 0.8517 0.1049  1 Cr 1.97, 1 Li 1.98, 1 Sb 2.04, 1 Ni 2.11
20 O 0.4127 0.4127 0.1153  1 Li 1.86, 1 Cr 1.88, 2 Ni 1.98
21 O 0.5514 0.0501 0.3600  1 Cr 2.01, 1 Li 2.01, 1 Sb 2.03, 1 Ni 2.11
22 O 0.5558 0.5558 0.3498  1 Li 1.92, 2 Ni 1.95, 1 Sb 1.99
23 O 0.7147 0.7147 0.8552  2 Sb 2.01, 1 Cr 2.14
24 O 0.7212 0.2130 0.8607  1 Sb 1.98, 1 Li 1.98, 1 Cr 2.02, 1 Ni 2.09
25 O 0.8517 0.4073 0.1049  1 Cr 1.97, 1 Li 1.98, 1 Sb 2.04, 1 Ni 2.11
26 O 0.8828 0.8828 0.6416  1 Li 1.79, 1 Ni 1.98
27 O 0.8899 0.8899 0.1488  1 Li 1.82, 2 Ni 1.95, 1 Sb 1.99
28 O 0.9286 0.3737 0.6136  1 Li 1.99, 1 Sb 1.99, 1 Ni 2.04, 1 Cr 2.04

Q: The highest theoretical density belongs to which entry?
A: Li4Cr2Ni3Sb3O16